a | ## KHS2 (PBE-GGA)

Data for a relaxed KHS2 crystal.

a b c (Å): 4.8518 4.8518 4.8518
angles (deg): 60.00 60.00 60.00
Positions (direct):
H (0.0000, 0.0000, 0.0000)
K (0.5000, 0.5000, 0.5000)
S (0.2500, 0.2500, 0.2500)
S (0.7500, 0.7500, 0.7500)

Results
Density = 2.143 g cm⁻³

---

b | ## KHS2 (PBE-GGA)

Data for a relaxed KHS2 crystal.

a b c (Å): 4.9003 4.9003 7.3638
angles (deg): 70.57 70.57 90.00
Positions (direct):
H (0.5000, 0.5000, 0.0000)
H (0.2500, 0.7500, 0.5000)
K (0.0000, 0.0000, 0.0000)
K (0.7500, 0.2500, 0.5000)
S (0.3748, 0.1250, 0.2500)
S (0.3752, 0.6250, 0.2500)
S (0.3750, 0.6252, 0.7500)
S (0.8750, 0.6248, 0.7500)

Results
Density = 2.219 g cm⁻³

---

Which of them is the most stable? Correct choice: b.

---

a | ## KHS2 (PBE-GGA)

Data for a relaxed KHS2 crystal.

a b c (Å): 5.9449 5.9449 5.9449
angles (deg): 41.49 41.49 41.49
Positions (direct):
H (0.5000, 0.5000, 0.5000)
K (0.0000, 0.0000, 0.0000)
S (0.8195, 0.8195, 0.8195)
S (0.1805, 0.1805, 0.1805)

Results
Density = 2.077 g cm⁻³

---

b | ## KHS2 (PBE-GGA)

Data for a relaxed KHS2 crystal.

a b c (Å): 8.2294 8.2294 8.2294
angles (deg): 23.87 23.87 23.87
Positions (direct):
H (0.0000, 0.0000, 0.0000)
K (0.5000, 0.5000, 0.5000)
S (0.9323, 0.9323, 0.9323)
S (0.0677, 0.0677, 0.0677)

Results
Density = 2.158 g cm⁻³

---

Which of them is the most stable? Correct choice: b.

---

a | ## KH2S (PBE-GGA)

Data for a relaxed KH2S crystal.

a b c (Å): 6.4133 5.7115 5.7115
angles (deg): 102.93 90.00 90.00
Positions (direct):
K (0.2500, 0.7439, 0.0934)
K (0.7500, 0.0934, 0.7439)
H (0.2500, 0.2137, 0.5832)
H (0.7500, 0.5832, 0.2137)
H (0.2500, 0.2158, 0.9817)
H (0.7500, 0.9817, 0.2158)
S (0.2500, 0.0024, 0.6510)
S (0.7500, 0.6510, 0.0024)

Results
Density = 1.192 g cm⁻³

---

b | ## KH2S (PBE-GGA)

Data for a relaxed KH2S crystal.

a b c (Å): 4.2546 4.2546 4.2546
angles (deg): 60.00 60.00 60.00
Positions (direct):
H (0.2500, 0.2500, 0.2500)
H (0.7500, 0.7500, 0.7500)
K (0.5000, 0.5000, 0.5000)
S (0.0000, 0.0000, 0.0000)

Results
Density = 2.231 g cm⁻³

---

c | ## KH2S (PBE-GGA)

Data for a relaxed KH2S crystal.

a b c (Å): 3.6100 3.6100 5.1263
angles (deg): 69.38 69.38 60.00
Positions (direct):
H (0.1946, 0.1946, 0.4163)
H (0.8054, 0.8054, 0.5837)
K (0.0000, 0.0000, 0.0000)
S (0.5000, 0.5000, 0.5000)

Results
Density = 2.299 g cm⁻³

---

d | ## KH2S (PBE-GGA)

Data for a relaxed KH2S crystal.

a b c (Å): 4.4180 4.4180 7.1600
angles (deg): 72.03 72.03 90.00
Positions (direct):
H (0.3756, 0.1250, 0.2500)
H (0.3744, 0.6250, 0.2500)
H (0.3750, 0.6244, 0.7500)
H (0.8750, 0.6256, 0.7500)
K (0.0000, 0.0000, 0.0000)
K (0.7500, 0.2500, 0.5000)
S (0.5000, 0.5000, 0.0000)
S (0.2500, 0.7500, 0.5000)

Results
Density = 1.933 g cm⁻³

---

Which of them is the most stable? Correct choice: a.

---

a | ## K3HS (PBE-GGA)

Data for a relaxed K3HS crystal.

a b c (Å): 5.0816 5.0816 5.0816
angles (deg): 90.00 90.00 90.00
Positions (direct):
H (0.0000, 0.0000, 0.0000)
K (0.0000, 0.5000, 0.0000)
K (0.0000, 0.0000, 0.5000)
K (0.5000, 0.0000, 0.0000)
S (0.5000, 0.5000, 0.5000)

Results
Density = 1.903 g cm⁻³

---

b | ## K3HS (PBE-GGA)

Data for a relaxed K3HS crystal.

a b c (Å): 4.4188 8.2677 8.3367
angles (deg): 97.08 90.00 90.00
Positions (direct):
K (0.5154, 0.5696, 0.7272)
K (0.5154, 0.7837, 0.3648)
K (0.0154, 0.1979, 0.6561)
K (0.0154, 0.4983, 0.0724)
K (0.0154, 0.9838, 0.0186)
K (0.5154, 0.2692, 0.3109)
H (0.5154, 0.7390, 0.0294)
H (0.0154, 0.0285, 0.3540)
S (0.0154, 0.5250, 0.4632)
S (0.5154, 0.2425, 0.9202)

Results
Density = 1.652 g cm⁻³

---

Which of them is the most stable? Correct choice: b.

---

a | ## K2SbH2 (PBE-GGA)

Data for a relaxed K2SbH2 crystal.

a b c (Å): 5.5639 9.0940 8.5345
angles (deg): 90.00 90.00 144.06
Positions (direct):
K (0.4973, 0.8003, 0.9976)
K (0.5027, 0.1997, 0.4976)
K (0.5027, 0.1997, 0.0024)
K (0.4973, 0.8003, 0.5024)
Sb (0.3049, 0.4012, 0.7500)
Sb (0.6951, 0.5988, 0.2500)
H (0.2521, 0.3783, 0.3942)
H (0.7479, 0.6217, 0.8942)
H (0.2521, 0.3783, 0.1058)
H (0.7479, 0.6217, 0.6058)

Results
Density = 2.646 g cm⁻³

---

b | ## K2SbH2 (PBE-GGA)

Data for a relaxed K2SbH2 crystal.

a b c (Å): 4.8979 4.8979 6.5903
angles (deg): 68.19 68.19 90.00
Positions (direct):
Sb (0.0000, 0.0000, 0.0000)
K (0.3354, 0.3354, 0.3292)
K (0.6646, 0.6646, 0.6708)
H (0.7500, 0.2500, 0.5000)
H (0.2500, 0.7500, 0.5000)

Results
Density = 2.493 g cm⁻³

---

Which of them is the most stable? Correct choice: a.

---

a | ## KSb2H (PBE-GGA)

Data for a relaxed KSb2H crystal.

a b c (Å): 5.2620 5.2620 5.2620
angles (deg): 60.00 60.00 60.00
Positions (direct):
Sb (0.2500, 0.2500, 0.2500)
Sb (0.7500, 0.7500, 0.7500)
K (0.5000, 0.5000, 0.5000)
H (0.0000, 0.0000, 0.0000)

Results
Density = 4.571 g cm⁻³

---

b | ## KSb2H (PBE-GGA)

Data for a relaxed KSb2H crystal.

a b c (Å): 6.7237 6.7237 6.8900
angles (deg): 60.80 60.80 90.00
Positions (direct):
Sb (0.3753, 0.1250, 0.2500)
Sb (0.3747, 0.6250, 0.2500)
Sb (0.3750, 0.6247, 0.7500)
Sb (0.8750, 0.6253, 0.7500)
K (0.0000, 0.0000, 0.0000)
K (0.7500, 0.2500, 0.5000)
H (0.5000, 0.5000, 0.0000)
H (0.2500, 0.7500, 0.5000)

Results
Density = 4.178 g cm⁻³

---

c | ## KSb2H (PBE-GGA)

Data for a relaxed KSb2H crystal.

a b c (Å): 7.8431 6.5736 4.2522
angles (deg): 90.00 89.97 90.00
Positions (direct):
K (0.9334, 0.2500, 0.7499)
K (0.0666, 0.7500, 0.2501)
Sb (0.6238, 0.5321, 0.2500)
Sb (0.3762, 0.4679, 0.7500)
Sb (0.3762, 0.0321, 0.7500)
Sb (0.6238, 0.9679, 0.2500)
H (0.1422, 0.2500, 0.2498)
H (0.8578, 0.7500, 0.7502)

Results
Density = 4.297 g cm⁻³

---

Which of them is the most stable? Correct choice: c.